A plane-wave DFT calculation with PBE was carried out for a relaxed structure of SrTa2Cu.

Computed properties:
Its raw total energy is -27.75 eV per cell.

```
SrTa2Cu
1.0
3.445 0.000 0.000
0.000 3.445 0.000
0.000 0.000 7.531
Sr Ta Cu
1 2 1
direct
0.000 0.000 0.000 Sr
0.000 0.000 0.518 Ta
0.500 0.500 0.346 Ta
0.500 0.500 0.702 Cu
```

A plane-wave DFT calculation with PBE was carried out for a relaxed structure of SrTaCu.

Computed properties:
Its raw total energy is -19.54 eV per cell.

```
SrTaCu
1.0
4.801 0.000 0.000
-2.401 4.158 0.000
0.000 0.000 12.822
Sr Ta Cu
2 2 2
direct
0.000 0.000 0.250 Sr
0.000 0.000 0.750 Sr
0.000 0.000 0.000 Ta
0.000 0.000 0.500 Ta
0.333 0.667 0.250 Cu
0.667 0.333 0.750 Cu
```

A plane-wave DFT calculation with PBE was carried out for a relaxed structure of Sr2TaCu.

Computed properties:
Its raw total energy is -31.56 eV per cell.

```
Sr2TaCu
1.0
7.993 0.000 0.000
0.000 8.318 0.000
0.000 0.000 3.387
Sr Ta Cu
4 2 2
direct
0.250 0.250 0.000 Sr
0.250 0.750 0.000 Sr
0.750 0.250 0.000 Sr
0.750 0.750 0.000 Sr
0.000 0.000 0.500 Ta
0.500 0.500 0.500 Ta
0.000 0.500 0.500 Cu
0.500 0.000 0.500 Cu
```

A plane-wave DFT calculation with PBE was carried out for a relaxed structure of SrTaCu.

Computed properties:
Its raw total energy is -56.13 eV per cell.

```
SrTaCu
1.0
6.725 0.000 0.000
0.000 6.725 0.000
0.000 0.000 6.725
Sr Ta Cu
4 4 4
direct
0.000 0.000 0.000 Sr
0.000 0.500 0.500 Sr
0.500 0.000 0.500 Sr
0.500 0.500 0.000 Sr
0.000 0.000 0.500 Ta
0.000 0.500 0.000 Ta
0.500 0.000 0.000 Ta
0.500 0.500 0.500 Ta
0.250 0.250 0.750 Cu
0.250 0.750 0.250 Cu
0.750 0.250 0.250 Cu
0.750 0.750 0.750 Cu
```

A plane-wave DFT calculation with PBE was carried out for a relaxed structure of SrTaCu2.

Computed properties:
Its raw total energy is -19.79 eV per cell.

```
SrTaCu2
1.0
5.029 0.000 0.000
0.000 5.029 0.000
0.000 0.000 2.957
Sr Ta Cu
1 1 2
direct
0.000 0.000 0.000 Sr
0.500 0.500 0.000 Ta
0.000 0.500 0.500 Cu
0.500 0.000 0.500 Cu
```

A plane-wave DFT calculation with PBE was carried out for a relaxed structure of SrTa2Cu.

Computed properties:
Its raw total energy is -51.96 eV per cell.

```
SrTa2Cu
1.0
4.852 0.000 0.000
0.000 4.852 0.000
0.000 0.000 6.849
Sr Ta Cu
2 4 2
direct
0.000 0.000 0.000 Sr
0.500 0.500 0.500 Sr
0.000 0.000 0.500 Ta
0.000 0.500 0.750 Ta
0.500 0.000 0.250 Ta
0.500 0.500 0.000 Ta
0.000 0.500 0.250 Cu
0.500 0.000 0.750 Cu
```

A plane-wave DFT calculation with PBE was carried out for a relaxed structure of SrTa3Cu.

Computed properties:
Its raw total energy is -25.82 eV per cell.

```
SrTa3Cu
1.0
4.843 0.000 0.000
0.000 4.843 0.000
0.000 0.000 4.843
Sr Ta Cu
1 3 1
direct
0.000 0.000 0.000 Sr
0.000 0.000 0.500 Ta
0.000 0.500 0.000 Ta
0.500 0.000 0.000 Ta
0.500 0.500 0.500 Cu
```

A plane-wave DFT calculation with PBE was carried out for a relaxed structure of SrTaCu2.

Computed properties:
Its raw total energy is -76.19 eV per cell.

```
SrTaCu2
1.0
6.792 0.000 0.000
0.000 6.792 0.000
0.000 0.000 6.792
Sr Ta Cu
4 4 8
direct
0.000 0.000 0.000 Sr
0.000 0.500 0.500 Sr
0.500 0.000 0.500 Sr
0.500 0.500 0.000 Sr
0.000 0.000 0.500 Ta
0.000 0.500 0.000 Ta
0.500 0.000 0.000 Ta
0.500 0.500 0.500 Ta
0.250 0.250 0.250 Cu
0.250 0.250 0.750 Cu
0.250 0.750 0.250 Cu
0.250 0.750 0.750 Cu
0.750 0.250 0.250 Cu
0.750 0.250 0.750 Cu
0.750 0.750 0.250 Cu
0.750 0.750 0.750 Cu
```

> Which of these has the highest raw total energy?

number 2

Copy entry 6 word for word.
A plane-wave DFT calculation with PBE was carried out for a relaxed structure of SrTa2Cu.

Computed properties:
Its raw total energy is -51.96 eV per cell.

```
SrTa2Cu
1.0
4.852 0.000 0.000
0.000 4.852 0.000
0.000 0.000 6.849
Sr Ta Cu
2 4 2
direct
0.000 0.000 0.000 Sr
0.500 0.500 0.500 Sr
0.000 0.000 0.500 Ta
0.000 0.500 0.750 Ta
0.500 0.000 0.250 Ta
0.500 0.500 0.000 Ta
0.000 0.500 0.250 Cu
0.500 0.000 0.750 Cu
```

Please write out number 4 again, unchanged.
A plane-wave DFT calculation with PBE was carried out for a relaxed structure of SrTaCu.

Computed properties:
Its raw total energy is -56.13 eV per cell.

```
SrTaCu
1.0
6.725 0.000 0.000
0.000 6.725 0.000
0.000 0.000 6.725
Sr Ta Cu
4 4 4
direct
0.000 0.000 0.000 Sr
0.000 0.500 0.500 Sr
0.500 0.000 0.500 Sr
0.500 0.500 0.000 Sr
0.000 0.000 0.500 Ta
0.000 0.500 0.000 Ta
0.500 0.000 0.000 Ta
0.500 0.500 0.500 Ta
0.250 0.250 0.750 Cu
0.250 0.750 0.250 Cu
0.750 0.250 0.250 Cu
0.750 0.750 0.750 Cu
```

> What is the raw total energy in the eighth record?

-76.19 eV per cell